Entry from the Alexandria database: crystalline TlBN2F at its relaxed geometry (PBE-GGA).

The structure in extended XYZ format:
```
5
Lattice="3.280 0.000 0.000 0.000 3.280 0.000 0.000 0.000 5.861" Properties=species:S:1:pos:R:3 pbc="T T T"
N 0.000 1.640 0.000
N 1.640 0.000 0.000
B 0.000 0.000 0.000
Tl 1.640 1.640 2.930
F 0.000 0.000 2.930
```

Output
Symmetry: P4/mmm (123)
Formation energy without anion corrections (eV/atom): 0.479
DFT total energy (eV per cell): -25.2
Relative energy among the computed polymorphs (meV/atom): 0.0
ρ (Mg/m³): 6.9
Total magnetization (Bohr magnetons per cell): 0.00